[1]
SbAsP2 (PBE, optimized geometry); polymorph energy (0 for the lowest one) = 0.131 eV/atom; E = -4.68 eV per atom
1.0
3.245 0.000 0.000
0.000 3.245 0.000
0.000 0.000 8.363
As P Sb
1 2 1
direct
0.500 0.500 0.810
0.000 0.000 0.147
0.500 0.500 0.088
0.000 0.000 0.456


[2]
Ni7Pd2Pt3 (PBE, optimized geometry); energy of formation = 0.110 eV/atom; polymorph energy (0 for the lowest one) = 0.000 eV/atom; E = -5.64 eV per atom
1.0
2.666 0.000 0.000
0.000 4.168 -0.445
0.000 1.083 14.482
Ni Pd Pt
7 2 3
direct
0.500 0.745 0.459
0.500 0.255 0.541
0.000 0.697 0.140
0.000 0.000 0.000
0.000 0.303 0.860
0.500 0.802 0.838
0.500 0.198 0.162
0.500 0.729 0.286
0.500 0.271 0.714
0.500 0.500 0.000
0.000 0.238 0.383
0.000 0.762 0.617


Q: E of number 1 (SbAsP2)?
A: -4.68 eV per atom


Copy entry 2 word for word.
Ni7Pd2Pt3 (PBE, optimized geometry); energy of formation = 0.110 eV/atom; polymorph energy (0 for the lowest one) = 0.000 eV/atom; E = -5.64 eV per atom
1.0
2.666 0.000 0.000
0.000 4.168 -0.445
0.000 1.083 14.482
Ni Pd Pt
7 2 3
direct
0.500 0.745 0.459
0.500 0.255 0.541
0.000 0.697 0.140
0.000 0.000 0.000
0.000 0.303 0.860
0.500 0.802 0.838
0.500 0.198 0.162
0.500 0.729 0.286
0.500 0.271 0.714
0.500 0.500 0.000
0.000 0.238 0.383
0.000 0.762 0.617


Q: Which value of E does entry 2 give?
A: -5.64 eV per atom